Record 1
First-principles (PBE-GGA) data for ErGa2Pt3 after structural relaxation, as listed in Alexandria.

Properties
Symmetry   P6_3/mmc, No. 194
Energy of formation   -0.976 eV per atom

The structure in CIF format:
```
data_ErGa2Pt3
_cell_length_a 4.405
_cell_length_b 4.405
_cell_length_c 12.309
_cell_angle_alpha 90.00
_cell_angle_beta 90.00
_cell_angle_gamma 120.00
_space_group_name_H-M_alt 'P 1'
_space_group_IT_number 1
loop_
_space_group_symop_operation_xyz
'x,y,z'
loop_
_atom_site_label
_atom_site_fract_x
_atom_site_fract_y
_atom_site_fract_z
Er1 0.000 0.000 0.250
Er2 0.000 0.000 0.750
Ga1 0.333 0.667 0.087
Ga2 0.333 0.667 0.413
Ga3 0.667 0.333 0.587
Ga4 0.667 0.333 0.913
Pt1 0.000 0.000 0.000
Pt2 0.000 0.000 0.500
Pt3 0.333 0.667 0.627
Pt4 0.333 0.667 0.873
Pt5 0.667 0.333 0.127
Pt6 0.667 0.333 0.373
```

Record 2
First-principles (PBE-GGA) data for Er3Ga4Pt4 after structural relaxation, as listed in Alexandria.

Properties
Symmetry   Immm, No. 71
Energy of formation   -1.046 eV per atom

The structure in CIF format:
```
data_Er3Ga4Pt4
_cell_length_a 8.235
_cell_length_b 8.235
_cell_length_c 8.235
_cell_angle_alpha 151.39
_cell_angle_beta 127.92
_cell_angle_gamma 60.50
_space_group_name_H-M_alt 'P 1'
_space_group_IT_number 1
loop_
_space_group_symop_operation_xyz
'x,y,z'
loop_
_atom_site_label
_atom_site_fract_x
_atom_site_fract_y
_atom_site_fract_z
Er1 0.000 0.000 0.000
Er2 0.377 0.877 0.500
Er3 0.623 0.123 0.500
Ga1 0.028 0.327 0.702
Ga2 0.375 0.673 0.702
Ga3 0.625 0.327 0.298
Ga4 0.972 0.673 0.298
Pt1 0.216 0.216 0.000
Pt2 0.300 0.500 0.800
Pt3 0.700 0.500 0.200
Pt4 0.784 0.784 0.000
```

Record 3
First-principles (PBE-GGA) data for ErGa2Pt after structural relaxation, as listed in Alexandria.

Properties
Symmetry   Pnma, No. 62
Energy of formation   -0.838 eV per atom

The structure in CIF format:
```
data_ErGa2Pt
_cell_length_a 8.101
_cell_length_b 6.802
_cell_length_c 5.471
_cell_angle_alpha 90.00
_cell_angle_beta 90.00
_cell_angle_gamma 90.00
_space_group_name_H-M_alt 'P 1'
_space_group_IT_number 1
loop_
_space_group_symop_operation_xyz
'x,y,z'
loop_
_atom_site_label
_atom_site_fract_x
_atom_site_fract_y
_atom_site_fract_z
Er1 0.042 0.250 0.125
Er2 0.458 0.750 0.625
Er3 0.542 0.250 0.375
Er4 0.958 0.750 0.875
Ga1 0.187 0.052 0.622
Ga2 0.187 0.448 0.622
Ga3 0.313 0.552 0.122
Ga4 0.313 0.948 0.122
Ga5 0.687 0.052 0.878
Ga6 0.687 0.448 0.878
Ga7 0.813 0.552 0.378
Ga8 0.813 0.948 0.378
Pt1 0.090 0.750 0.368
Pt2 0.410 0.250 0.868
Pt3 0.590 0.750 0.132
Pt4 0.910 0.250 0.632
```

Record 4
First-principles (PBE-GGA) data for ErGa2Pt after structural relaxation, as listed in Alexandria.

Properties
Symmetry   R-3m, No. 166
Energy of formation   -0.785 eV per atom

The structure in CIF format:
```
data_ErGa2Pt
_cell_length_a 5.456
_cell_length_b 5.456
_cell_length_c 5.456
_cell_angle_alpha 45.91
_cell_angle_beta 45.91
_cell_angle_gamma 45.91
_space_group_name_H-M_alt 'P 1'
_space_group_IT_number 1
loop_
_space_group_symop_operation_xyz
'x,y,z'
loop_
_atom_site_label
_atom_site_fract_x
_atom_site_fract_y
_atom_site_fract_z
Er1 0.000 0.000 0.000
Ga1 0.221 0.221 0.221
Ga2 0.779 0.779 0.779
Pt1 0.500 0.500 0.500
```

Record 5
First-principles (PBE-GGA) data for Er3Ga9Pt2 after structural relaxation, as listed in Alexandria.

Properties
Symmetry   Immm, No. 71
Energy of formation   -0.676 eV per atom

The structure in CIF format:
```
data_Er3Ga9Pt2
_cell_length_a 8.182
_cell_length_b 8.182
_cell_length_c 8.182
_cell_angle_alpha 150.16
_cell_angle_beta 104.64
_cell_angle_gamma 83.10
_space_group_name_H-M_alt 'P 1'
_space_group_IT_number 1
loop_
_space_group_symop_operation_xyz
'x,y,z'
loop_
_atom_site_label
_atom_site_fract_x
_atom_site_fract_y
_atom_site_fract_z
Er1 0.000 0.000 0.000
Er2 0.323 0.323 0.000
Er3 0.677 0.677 0.000
Ga1 0.043 0.668 0.375
Ga2 0.149 0.870 0.279
Ga3 0.293 0.668 0.625
Ga4 0.409 0.130 0.279
Ga5 0.500 0.000 0.500
Ga6 0.591 0.870 0.721
Ga7 0.707 0.332 0.375
Ga8 0.851 0.130 0.721
Ga9 0.957 0.332 0.625
Pt1 0.276 0.500 0.776
Pt2 0.724 0.500 0.224
```

Record 6
First-principles (PBE-GGA) data for Er3Ga2Pt6 after structural relaxation, as listed in Alexandria.

Properties
Symmetry   Im-3m, No. 229
Energy of formation   -1.031 eV per atom

The structure in CIF format:
```
data_Er3Ga2Pt6
_cell_length_a 8.232
_cell_length_b 8.232
_cell_length_c 8.232
_cell_angle_alpha 109.47
_cell_angle_beta 109.47
_cell_angle_gamma 109.47
_space_group_name_H-M_alt 'P 1'
_space_group_IT_number 1
loop_
_space_group_symop_operation_xyz
'x,y,z'
loop_
_atom_site_label
_atom_site_fract_x
_atom_site_fract_y
_atom_site_fract_z
Er1 0.000 0.302 0.302
Er2 0.000 0.698 0.698
Er3 0.302 0.000 0.302
Er4 0.302 0.302 0.000
Er5 0.698 0.000 0.698
Er6 0.698 0.698 0.000
Ga1 0.000 0.000 0.500
Ga2 0.000 0.500 0.000
Ga3 0.500 0.000 0.000
Ga4 0.500 0.500 0.500
Pt1 0.000 0.323 0.677
Pt2 0.000 0.677 0.323
Pt3 0.323 0.000 0.677
Pt4 0.323 0.323 0.645
Pt5 0.323 0.645 0.323
Pt6 0.323 0.677 0.000
Pt7 0.355 0.677 0.677
Pt8 0.645 0.323 0.323
Pt9 0.677 0.000 0.323
Pt10 0.677 0.323 0.000
Pt11 0.677 0.355 0.677
Pt12 0.677 0.677 0.355
```

Number 1: density of states at the Fermi level 0.27 states/eV/atom. Number 2: density of states at the Fermi level 0.52 states/eV/atom. Number 3: density of states at the Fermi level 0.47 states/eV/atom. Number 4: density of states at the Fermi level 0.51 states/eV/atom. Number 5: density of states at the Fermi level 0.32 states/eV/atom. Number 6: density of states at the Fermi level 0.49 states/eV/atom.